[1]
SrHfO3 | PBE | optimized geometry

Lattice parameters (Å, degrees): 4.110 4.110 4.110 90.00 90.00 90.00
Fractional positions:
1 Sr 0.000 0.000 0.000
2 Hf 0.500 0.500 0.500
3 O 0.000 0.500 0.500
4 O 0.500 0.000 0.500
5 O 0.500 0.500 0.000

Summary:
M_tot = 0.00 μB per cell
Total energy = -43.3 eV/f.u.

[2]
SrHfO3 | PBE | optimized geometry

Lattice parameters (Å, degrees): 5.791 8.151 5.758 90.00 90.00 90.00
Fractional positions:
1 Sr 0.026 0.250 0.006
2 Sr 0.474 0.750 0.506
3 Sr 0.526 0.250 0.494
4 Sr 0.974 0.750 0.994
5 Hf 0.000 0.000 0.500
6 Hf 0.000 0.500 0.500
7 Hf 0.500 0.000 0.000
8 Hf 0.500 0.500 0.000
9 O 0.015 0.750 0.431
10 O 0.219 0.536 0.781
11 O 0.219 0.964 0.781
12 O 0.281 0.036 0.281
13 O 0.281 0.464 0.281
14 O 0.485 0.250 0.931
15 O 0.515 0.750 0.069
16 O 0.719 0.536 0.719
17 O 0.719 0.964 0.719
18 O 0.781 0.036 0.219
19 O 0.781 0.464 0.219
20 O 0.985 0.250 0.569

Summary:
M_tot = 0.00 μB per cell
Total energy = -43.5 eV/f.u.

[3]
SrHf7O15 | PBE | optimized geometry

Lattice parameters (Å, degrees): 7.191 7.402 10.305 87.53 89.71 89.48
Fractional positions:
1 Sr 0.000 0.000 0.000
2 Sr 0.014 0.555 0.468
3 Hf 0.000 0.484 0.940
4 Hf 0.014 0.065 0.485
5 Hf 0.234 0.783 0.727
6 Hf 0.258 0.311 0.203
7 Hf 0.266 0.246 0.746
8 Hf 0.279 0.798 0.233
9 Hf 0.490 0.005 0.468
10 Hf 0.503 0.988 0.970
11 Hf 0.514 0.519 0.465
12 Hf 0.520 0.515 0.965
13 Hf 0.732 0.745 0.203
14 Hf 0.736 0.238 0.733
15 Hf 0.758 0.768 0.730
16 Hf 0.762 0.247 0.240
17 O 0.005 0.778 0.209
18 O 0.006 0.253 0.843
19 O 0.045 0.267 0.342
20 O 0.224 0.952 0.381
21 O 0.228 0.512 0.786
22 O 0.244 0.497 0.044
23 O 0.267 0.999 0.852
24 O 0.269 0.060 0.604
25 O 0.291 0.540 0.316
26 O 0.299 0.054 0.121
27 O 0.345 0.690 0.562
28 O 0.472 0.243 0.365
29 O 0.475 0.748 0.090
30 O 0.484 0.258 0.879
31 O 0.499 0.333 0.622
32 O 0.501 0.755 0.839
33 O 0.531 0.794 0.344
34 O 0.542 0.348 0.127
35 O 0.651 0.999 0.629
36 O 0.703 0.013 0.126
37 O 0.716 0.626 0.570
38 O 0.737 0.012 0.857
39 O 0.737 0.504 0.323
40 O 0.741 0.489 0.819
41 O 0.773 0.040 0.384
42 O 0.777 0.607 0.041
43 O 0.948 0.271 0.601
44 O 0.971 0.298 0.106
45 O 0.995 0.835 0.611
46 O 0.996 0.744 0.850

Summary:
Excess energy over the best structure of this formula in the dataset = 0.009 eV/atom
M_tot = 0.01 μB per cell

Copy entry 2 word for word.
SrHfO3 | PBE | optimized geometry

Lattice parameters (Å, degrees): 5.791 8.151 5.758 90.00 90.00 90.00
Fractional positions:
1 Sr 0.026 0.250 0.006
2 Sr 0.474 0.750 0.506
3 Sr 0.526 0.250 0.494
4 Sr 0.974 0.750 0.994
5 Hf 0.000 0.000 0.500
6 Hf 0.000 0.500 0.500
7 Hf 0.500 0.000 0.000
8 Hf 0.500 0.500 0.000
9 O 0.015 0.750 0.431
10 O 0.219 0.536 0.781
11 O 0.219 0.964 0.781
12 O 0.281 0.036 0.281
13 O 0.281 0.464 0.281
14 O 0.485 0.250 0.931
15 O 0.515 0.750 0.069
16 O 0.719 0.536 0.719
17 O 0.719 0.964 0.719
18 O 0.781 0.036 0.219
19 O 0.781 0.464 0.219
20 O 0.985 0.250 0.569

Summary:
M_tot = 0.00 μB per cell
Total energy = -43.5 eV/f.u.

Which of these has the highest M_tot?
SrHf7O15